1.
{"formula": "PmAs2Rh", "functional": "GGA-PBE", "state": "relaxed", "e_above_lowest_polymorph_mev_per_atom": 0, "e_tot_ha_per_atom": -0.231, "e_form_ev_per_atom": -0.93, "cell": [[-2.0278, 2.0278, 9.9005], [2.0278, -2.0278, 9.9005], [2.0278, 2.0278, -9.9005]], "species": ["Pm", "Pm", "As", "As", "As", "As", "Rh", "Rh"], "fractional_positions": [[0.1150, 0.1150, 0.0000], [0.8850, 0.8850, 0.0000], [0.0000, 0.5000, 0.5000], [0.3245, 0.3245, 0.0000], [0.5000, 0.0000, 0.5000], [0.6755, 0.6755, 0.0000], [0.2500, 0.7500, 0.5000], [0.7500, 0.2500, 0.5000]]}

2.
{"formula": "Pm3As4Rh4", "functional": "GGA-PBE", "state": "relaxed", "e_above_lowest_polymorph_mev_per_atom": 22, "e_tot_ha_per_atom": -0.246, "e_form_ev_per_atom": -1.02, "cell": [[-2.0827, 3.5995, 6.9511], [2.0827, -3.5995, 6.9511], [2.0827, 3.5995, -6.9511]], "species": ["Pm", "Pm", "Pm", "As", "As", "As", "As", "Rh", "Rh", "Rh", "Rh"], "fractional_positions": [[0.0000, 0.0000, 0.0000], [0.3749, 0.8749, 0.5000], [0.6251, 0.1251, 0.5000], [0.2166, 0.2166, 0.0000], [0.2924, 0.5000, 0.7924], [0.7076, 0.5000, 0.2076], [0.7834, 0.7834, 0.0000], [0.0236, 0.3216, 0.7019], [0.3803, 0.6784, 0.7019], [0.6197, 0.3216, 0.2981], [0.9764, 0.6784, 0.2981]]}